Ti3GaPd2: relaxed, GGA-PBE.

Cell lengths 3.3595, 3.3595, 8.4615 Å; angles 90.00, 90.00, 90.00 degrees
Element x y z (fractional)
Ti1 0.0000 0.0000 0.0000
Ti2 0.0000 0.0000 0.3341
Ti3 0.0000 0.0000 0.6659
Ga1 0.5000 0.5000 0.5000
Pd1 0.5000 0.5000 0.1707
Pd2 0.5000 0.5000 0.8293

Properties
* density: 7.41 g/cm³
* M_tot: 0.00 Bohr magnetons per cell


Ti5GaPd8: relaxed, GGA-PBE.

Cell lengths 6.6783, 6.6783, 6.6783 Å; angles 108.60, 108.60, 111.22 degrees
Element x y z (fractional)
Ti1 0.0000 0.0000 0.0000
Ti2 0.2970 0.2007 0.7026
Ti3 0.4056 0.7030 0.9037
Ti4 0.4981 0.5944 0.2974
Ti5 0.7993 0.5019 0.0963
Ga1 0.7500 0.2500 0.5000
Pd1 0.0259 0.7503 0.6053
Pd2 0.0555 0.3698 0.9199
Pd3 0.1450 0.4206 0.3947
Pd4 0.2497 0.8550 0.2756
Pd5 0.4499 0.1355 0.0801
Pd6 0.5794 0.9741 0.7244
Pd7 0.6302 0.5501 0.6856
Pd8 0.8645 0.9445 0.3144

Properties
* density: 8.41 g/cm³
* M_tot: 0.00 Bohr magnetons per cell


Ti3GaPd: relaxed, GGA-PBE.

Cell lengths 5.3993, 5.3993, 14.3201 Å; angles 106.27, 106.27, 56.60 degrees
Element x y z (fractional)
Ti1 0.0149 0.4904 0.4061
Ti2 0.0314 0.6060 0.2207
Ti3 0.0701 0.8489 0.9120
Ti4 0.1511 0.9299 0.5880
Ti5 0.3940 0.9686 0.2793
Ti6 0.4904 0.0149 0.9061
Ti7 0.5096 0.9851 0.0939
Ti8 0.6060 0.0314 0.7207
Ti9 0.8489 0.0701 0.4120
Ti10 0.9299 0.1511 0.0880
Ti11 0.9686 0.3940 0.7793
Ti12 0.9851 0.5096 0.5939
Ga1 0.0000 0.5000 0.0000
Ga2 0.2839 0.7161 0.7500
Ga3 0.5000 0.0000 0.5000
Ga4 0.7161 0.2839 0.2500
Pd1 0.4084 0.5805 0.1031
Pd2 0.4195 0.5916 0.3969
Pd3 0.5805 0.4084 0.6031
Pd4 0.5916 0.4195 0.8969

Properties
* density: 6.43 g/cm³
* M_tot: 0.00 Bohr magnetons per cell


Ti3Ga2Pd3: relaxed, GGA-PBE.

Cell lengths 14.8492, 4.1878, 4.1380 Å; angles 90.00, 106.12, 90.00 degrees
Element x y z (fractional)
Ti1 0.0000 0.0000 0.0000
Ti2 0.1205 0.0000 0.6216
Ti3 0.3795 0.5000 0.3784
Ti4 0.5000 0.5000 0.0000
Ti5 0.6205 0.5000 0.6216
Ti6 0.8795 0.0000 0.3784
Ga1 0.2473 0.0000 0.2484
Ga2 0.2527 0.5000 0.7516
Ga3 0.7473 0.5000 0.2484
Ga4 0.7527 0.0000 0.7516
Pd1 0.0000 0.5000 0.5000
Pd2 0.1367 0.5000 0.1358
Pd3 0.3633 0.0000 0.8642
Pd4 0.5000 0.0000 0.5000
Pd5 0.6367 0.0000 0.1358
Pd6 0.8633 0.5000 0.8642

Properties
* density: 8.09 g/cm³
* M_tot: 2.69 Bohr magnetons per cell


| no. | N(E_F) (states/eV/atom) | E_tot (eV/atom) | DFT formation energy (eV per atom) |
| --- | --- | --- | --- |
| 1 | 1.29 | -6.634 | -0.45 |
| 2 | 0.78 | -6.405 | -0.40 |
| 3 | 1.09 | -6.678 | -0.30 |
| 4 | 0.83 | -6.159 | -0.49 |